Below is an optimized crystal structure of EuInBi2, with properties calculated at the PBE level.

Lattice parameters (Å, degrees): 5.6398 5.6398 5.6398 60.00 60.00 60.00
Closest atoms and distances in Å follow each position.
Element x y z (fractional)
Eu 0.0000 0.0000 0.0000  8 Bi 3.45
In 0.5000 0.5000 0.5000  8 Bi 3.45
Bi 0.2500 0.2500 0.2500  4 In 3.45, 4 Eu 3.45
Bi 0.7500 0.7500 0.7500  4 In 3.45, 4 Eu 3.45

Output
Magnetization   1.818 μB per atom
Density of states at the Fermi level   7.33 states/eV/cell
Energy of formation   -0.27 eV per atom
Electronic total energy   -5.462 eV/atom